No. 1
{
  "formula": "K3Pm2ZrSe6",
  "functional": "PBE",
  "state": "optimized geometry",
  "cell": [[-5.029, 5.148, -0.820], [-1.640, -6.149, 3.459], [4.405, 3.527, 5.821]],
  "species": ["Se", "Pm", "Se", "K", "Se", "Se", "K", "Pm", "Zr", "Se", "Se", "K"],
  "frac_coords": [[0.755, 0.755, 0.209], [0.334, 0.666, 0.000], [0.245, 0.245, 0.791], [0.170, 0.830, 0.500], [0.069, 0.384, 0.208], [0.616, 0.931, 0.792], [0.500, 0.500, 0.500], [0.666, 0.334, 0.000], [0.000, 0.000, 0.000], [0.384, 0.069, 0.208], [0.931, 0.616, 0.792], [0.830, 0.170, 0.500]],
  "raw_formation_energy_ev_per_atom": -1.5897,
  "magnetic_moment_mub_per_fu": 0.0,
  "crystal_system": "monoclinic"
}

=====

No. 2
{
  "formula": "K4Pm3ZrSe8",
  "functional": "PBE",
  "state": "optimized geometry",
  "cell": [[-1.380, -0.447, -8.313], [8.546, -2.958, -1.259], [-4.889, -4.349, 5.328]],
  "species": ["Se", "Se", "Pm", "K", "Zr", "Se", "Se", "Se", "K", "K", "Se", "K", "Se", "Pm", "Se", "Pm"],
  "frac_coords": [[0.262, 0.286, 0.524], [0.773, 0.294, 0.020], [0.500, 0.500, 0.000], [0.000, 0.000, 0.500], [0.000, 0.500, 0.000], [0.773, 0.294, 0.547], [0.753, 0.706, 0.980], [0.738, 0.714, 0.476], [0.500, 0.000, 0.500], [0.500, 0.000, 0.000], [0.247, 0.294, 0.020], [0.000, 0.000, 0.000], [0.227, 0.706, 0.453], [0.500, 0.500, 0.500], [0.227, 0.706, 0.980], [0.000, 0.500, 0.500]],
  "raw_formation_energy_ev_per_atom": -1.6288,
  "magnetic_moment_mub_per_fu": 0.1,
  "crystal_system": "trigonal"
}

=====

No. 3
{
  "formula": "KPmSi",
  "functional": "PBE",
  "state": "optimized geometry",
  "cell": [[-1.610, 4.697, -1.436], [-0.658, 1.087, -5.009], [-11.340, 4.592, -0.179]],
  "species": ["Pm", "Si", "K", "Si", "K", "Pm"],
  "frac_coords": [[0.132, 0.874, 0.121], [0.656, 0.769, 0.807], [0.360, 0.628, 0.384], [0.344, 0.231, 0.193], [0.640, 0.372, 0.616], [0.868, 0.126, 0.879]],
  "raw_formation_energy_ev_per_atom": -0.1094,
  "magnetic_moment_mub_per_fu": 0.0,
  "crystal_system": "trigonal"
}

=====

No. 4
{
  "formula": "KPmSm",
  "functional": "PBE",
  "state": "optimized geometry",
  "cell": [[3.747, 0.000, 0.000], [0.000, 3.747, 0.000], [0.000, 0.000, 18.056]],
  "species": ["K", "Sm", "Sm", "Pm", "Pm", "K"],
  "frac_coords": [[0.500, 0.000, 0.112], [0.000, 0.500, 0.570], [0.500, 0.000, 0.430], [0.500, 0.000, 0.703], [0.000, 0.500, 0.297], [0.000, 0.500, 0.888]],
  "magnetic_moment_mub_per_fu": 0.0,
  "crystal_system": "tetragonal",
  "delta_e_f_ev_per_atom": 0.1600
}

=====

No. 5
{
  "formula": "KPmSm2",
  "functional": "PBE",
  "state": "optimized geometry",
  "cell": [[-2.087, 2.908, -0.744], [-2.786, -0.302, -2.348], [-9.804, -2.409, 9.099]],
  "species": ["Sm", "Sm", "Pm", "K"],
  "frac_coords": [[0.905, 0.905, 0.284], [0.095, 0.095, 0.716], [0.500, 0.500, 0.500], [0.000, 0.000, 0.000]],
  "magnetic_moment_mub_per_fu": 0.0,
  "crystal_system": "trigonal",
  "delta_e_f_ev_per_atom": 0.2137
}

=====

No. 6
{
  "formula": "KPm2Sm3Te6",
  "functional": "PBE",
  "state": "optimized geometry",
  "cell": [[4.464, 0.000, 0.000], [0.000, 9.135, 0.308], [-2.232, -2.657, 9.485]],
  "species": ["K", "Te", "Te", "Sm", "Sm", "Te", "Te", "Pm", "Te", "Sm", "Pm", "Te"],
  "frac_coords": [[0.500, 0.000, 0.000], [0.997, 0.737, 0.994], [0.665, 0.585, 0.329], [0.500, 0.500, 0.000], [0.838, 0.178, 0.675], [0.335, 0.415, 0.671], [0.673, 0.084, 0.346], [0.830, 0.655, 0.660], [0.003, 0.263, 0.006], [0.162, 0.822, 0.325], [0.170, 0.345, 0.340], [0.327, 0.916, 0.654]],
  "raw_formation_energy_ev_per_atom": -1.3820,
  "magnetic_moment_mub_per_fu": 0.0,
  "crystal_system": "monoclinic"
}

=====

No. 7
{
  "formula": "K4PmSm3Te8",
  "functional": "PBE",
  "state": "optimized geometry",
  "cell": [[9.153, 0.000, 0.000], [0.000, 9.793, 0.444], [-4.577, -4.573, 6.477]],
  "species": ["K", "K", "Te", "Sm", "Te", "Te", "Te", "Sm", "Te", "K", "Te", "Pm", "K", "Te", "Sm", "Te"],
  "frac_coords": [[0.500, 0.000, 0.000], [0.500, 0.000, 0.500], [0.737, 0.712, 0.475], [0.500, 0.500, 0.000], [0.263, 0.287, 0.025], [0.238, 0.713, 0.476], [0.762, 0.287, 0.524], [0.000, 0.500, 0.500], [0.263, 0.288, 0.525], [0.000, 0.000, 0.500], [0.762, 0.287, 0.025], [0.000, 0.500, 0.000], [0.000, 0.000, 0.000], [0.737, 0.713, 0.975], [0.500, 0.500, 0.500], [0.238, 0.713, 0.975]],
  "raw_formation_energy_ev_per_atom": -1.4137,
  "magnetic_moment_mub_per_fu": 0.0,
  "crystal_system": "trigonal"
}

=====

No. 8
{
  "formula": "K3Pm2SmTe6",
  "functional": "PBE",
  "state": "optimized geometry",
  "cell": [[-0.097, -7.004, -3.738], [2.964, 0.538, 7.346], [-8.433, 0.588, 1.929]],
  "species": ["K", "Te", "Te", "Te", "Te", "K", "Pm", "Pm", "Sm", "Te", "Te", "K"],
  "frac_coords": [[0.833, 0.167, 0.500], [0.739, 0.739, 0.213], [0.261, 0.261, 0.787], [0.929, 0.597, 0.787], [0.597, 0.929, 0.787], [0.500, 0.500, 0.500], [0.333, 0.667, 0.000], [0.667, 0.333, 0.000], [0.000, 0.000, 0.000], [0.071, 0.403, 0.213], [0.403, 0.071, 0.213], [0.167, 0.833, 0.500]],
  "raw_formation_energy_ev_per_atom": -1.4155,
  "magnetic_moment_mub_per_fu": 0.0,
  "crystal_system": "monoclinic"
}

=====

No. 9
{
  "formula": "K3PmSm2Te6",
  "functional": "PBE",
  "state": "optimized geometry",
  "cell": [[-2.858, 5.808, -4.582], [-4.041, -2.348, 6.407], [6.309, 4.429, 3.966]],
  "species": ["Te", "Te", "K", "Te", "K", "Sm", "Te", "Sm", "Te", "Pm", "K", "Te"],
  "frac_coords": [[0.929, 0.595, 0.787], [0.071, 0.405, 0.213], [0.500, 0.500, 0.500], [0.264, 0.264, 0.787], [0.833, 0.167, 0.500], [0.667, 0.333, 0.000], [0.405, 0.071, 0.213], [0.333, 0.667, 0.000], [0.595, 0.929, 0.787], [0.000, 0.000, 0.000], [0.167, 0.833, 0.500], [0.736, 0.736, 0.213]],
  "raw_formation_energy_ev_per_atom": -1.4142,
  "magnetic_moment_mub_per_fu": 0.0,
  "crystal_system": "monoclinic"
}

=====

No. 10
{
  "formula": "K2PmSmTe4",
  "functional": "PBE",
  "state": "optimized geometry",
  "cell": [[-4.572, 0.303, -0.013], [-0.279, -4.501, -6.528], [-0.369, -5.275, 6.867]],
  "species": ["K", "Te", "K", "Te", "Te", "Pm", "Sm", "Te"],
  "frac_coords": [[0.500, 0.000, 0.500], [0.500, 0.237, 0.213], [0.000, 0.500, 0.500], [0.000, 0.739, 0.213], [0.000, 0.261, 0.787], [0.500, 0.500, 0.000], [0.000, 0.000, 0.000], [0.500, 0.763, 0.787]],
  "raw_formation_energy_ev_per_atom": -1.4146,
  "magnetic_moment_mub_per_fu": 0.0,
  "crystal_system": "monoclinic"
}

=====

No. 11
{
  "formula": "K4Pm3SmTe8",
  "functional": "PBE",
  "state": "optimized geometry",
  "cell": [[9.174, 0.000, 0.000], [0.000, 9.802, 0.431], [-4.587, -4.586, 6.489]],
  "species": ["K", "K", "Te", "Te", "Te", "K", "Te", "K", "Te", "Te", "Te", "Pm", "Te", "Sm", "Pm", "Pm"],
  "frac_coords": [[0.000, 0.000, 0.500], [0.500, 0.000, 0.500], [0.237, 0.713, 0.976], [0.237, 0.713, 0.475], [0.738, 0.714, 0.476], [0.000, 0.000, 0.000], [0.739, 0.713, 0.976], [0.500, 0.000, 0.000], [0.763, 0.287, 0.024], [0.262, 0.286, 0.524], [0.763, 0.287, 0.525], [0.500, 0.500, 0.500], [0.261, 0.287, 0.024], [0.000, 0.500, 0.000], [0.000, 0.500, 0.500], [0.500, 0.500, 0.000]],
  "raw_formation_energy_ev_per_atom": -1.4157,
  "magnetic_moment_mub_per_fu": 0.0,
  "crystal_system": "monoclinic"
}

=====

No. 12
{
  "formula": "KPmSn2",
  "functional": "PBE",
  "state": "optimized geometry",
  "cell": [[-1.204, -2.152, -3.371], [-2.176, -2.602, 2.438], [-6.316, 4.629, -0.699]],
  "species": ["Pm", "Sn", "K", "Sn"],
  "frac_coords": [[0.500, 0.500, 0.000], [0.000, 0.000, 0.813], [0.500, 0.500, 0.500], [0.000, 0.000, 0.187]],
  "de_polymorph_mev_per_atom": 0,
  "magnetic_moment_mub_per_fu": 0.0,
  "crystal_system": "tetragonal",
  "delta_e_f_ev_per_atom": -0.4277
}

=====

What is the formula in the tenth record? K2PmSmTe4